Record 1
Ac2Sm8Ho after structural relaxation, computed with PBE.

## Properties
crystal system: monoclinic
space group: C2/m (12)

Cell: 10.535 10.535 5.743 Å, 92.98 92.98 39.53°
Atoms (fractional coordinates):
Ac  0.219  0.219  0.258
Ac  0.781  0.781  0.742
Sm  0.044  0.044  0.234
Sm  0.115  0.642  0.267
Sm  0.325  0.325  0.775
Sm  0.358  0.885  0.733
Sm  0.642  0.115  0.267
Sm  0.675  0.675  0.225
Sm  0.885  0.358  0.733
Sm  0.956  0.956  0.766
Ho  0.500  0.500  0.000

***

Record 2
LiZrTc2 after structural relaxation, computed with PBE.

## Properties
crystal system: orthorhombic
space group: Imm2 (44)

Cell: 3.219 4.535 8.979 Å, 90.00 90.00 90.00°
Atoms (fractional coordinates):
Li  0.000  0.000  0.000
Li  0.500  0.500  0.500
Zr  0.000  0.500  0.226
Zr  0.500  0.000  0.726
Tc  0.000  0.000  0.466
Tc  0.000  0.500  0.752
Tc  0.500  0.000  0.252
Tc  0.500  0.500  0.966

***

Record 3
ScTa2Mo after structural relaxation, computed with PBE.

## Properties
crystal system: orthorhombic
space group: Immm (71)

Cell: 3.283 4.804 9.420 Å, 90.00 90.00 90.00°
Atoms (fractional coordinates):
Sc  0.000  0.000  0.000
Sc  0.500  0.500  0.500
Ta  0.000  0.500  0.226
Ta  0.000  0.500  0.774
Ta  0.500  0.000  0.274
Ta  0.500  0.000  0.726
Mo  0.000  0.000  0.500
Mo  0.500  0.500  0.000

***

| no. | spin magnetization (μB per formula unit) | energy relative to the elements (eV per atom) |
| --- | --- | --- |
| 1 | 0.0 | 0.1999 |
| 2 | 0.0 | 0.1171 |
| 3 | 0.0 | 0.0566 |